Entry 1:
First-principles (PBE) data for a relaxed structure of Pr3MgRu, as listed in Alexandria via LeMat-Bulk.

Structure (POSCAR):
```
Pr3MgRu
1.0
8.164 -5.190 0.000
8.164 5.190 0.000
0.000 0.000 6.805
Pr Mg Ru
12 4 4
Direct
0.086 0.693 0.000
0.193 0.586 0.500
0.204 0.204 0.500
0.296 0.296 0.000
0.307 0.914 0.000
0.414 0.807 0.500
0.586 0.193 0.500
0.693 0.086 0.000
0.704 0.704 0.000
0.796 0.796 0.500
0.807 0.414 0.500
0.914 0.307 0.000
0.001 0.999 0.706
0.499 0.501 0.206
0.501 0.499 0.794
0.999 0.001 0.294
0.000 0.500 0.250
0.000 0.500 0.750
0.500 0.000 0.250
0.500 0.000 0.750
```

Output
Energy relative to the elements (meV/atom): -134.1
VASP energy (eV/atom): -5.176
Calculated volume (Å³/atom): 28.83

Entry 2:
First-principles (PBE) data for a relaxed structure of TaZnAgC2, as listed in Alexandria via LeMat-Bulk.

Structure (POSCAR):
```
TaZnAgC2
1.0
4.041 0.000 0.000
0.000 4.041 0.000
0.000 0.000 4.723
Ta Zn Ag C
1 1 1 2
Direct
0.000 0.000 0.000
0.500 0.500 0.000
0.500 0.500 0.500
0.000 0.500 0.500
0.500 0.000 0.500
```

Output
Energy relative to the elements (meV/atom): 2575.3
VASP energy (eV/atom): -4.310
Calculated volume (Å³/atom): 15.42

Entry 3:
First-principles (PBE) data for a relaxed structure of Rb3UTl2Se6, as listed in Alexandria via LeMat-Bulk.

Structure (POSCAR):
```
Rb3UTl2Se6
1.0
3.888 -6.705 0.000
3.888 6.705 0.000
-2.571 0.000 7.782
Rb U Tl Se
3 1 2 6
Direct
0.000 0.000 0.000
0.321 0.679 0.000
0.679 0.321 0.000
0.500 0.500 0.500
0.164 0.836 0.500
0.836 0.164 0.500
0.143 0.434 0.302
0.281 0.281 0.704
0.434 0.143 0.302
0.566 0.857 0.698
0.719 0.719 0.296
0.857 0.566 0.698
```

Output
VASP energy (eV/atom): -4.238
Calculated volume (Å³/atom): 33.81
ΔE_f (raw) (meV per atom): -919

Entry 4:
First-principles (PBE) data for a relaxed structure of PuAlGa4, as listed in Alexandria via LeMat-Bulk.

Structure (POSCAR):
```
PuAlGa4
1.0
2.117 -5.992 0.000
2.117 5.992 0.000
0.000 0.000 4.499
Pu Al Ga
1 1 4
Direct
0.000 0.000 0.000
0.500 0.500 0.500
0.166 0.834 0.500
0.319 0.681 0.000
0.681 0.319 0.000
0.834 0.166 0.500
```

Output
Energy relative to the elements (meV/atom): -188.3
VASP energy (eV/atom): -5.219
Calculated volume (Å³/atom): 19.02

Entry 5:
First-principles (PBE) data for a relaxed structure of AcDySiPt, as listed in Alexandria via LeMat-Bulk.

Structure (POSCAR):
```
AcDySiPt
1.0
0.000 3.685 3.685
3.685 0.000 3.685
3.685 3.685 0.000
Ac Dy Si Pt
1 1 1 1
Direct
0.000 0.000 0.000
0.500 0.500 0.500
0.750 0.750 0.750
0.250 0.250 0.250
```

Output
VASP energy (eV/atom): -5.742
Calculated volume (Å³/atom): 25.02
ΔE_f (raw) (meV per atom): -698

Entry 6:
First-principles (PBE) data for a relaxed structure of BaLaAg2, as listed in Alexandria via LeMat-Bulk.

Structure (POSCAR):
```
BaLaAg2
1.0
4.211 0.000 0.000
0.000 5.095 0.000
-2.064 0.000 6.065
Ba La Ag
1 1 2
Direct
0.000 0.000 0.000
0.727 0.500 0.449
0.282 0.000 0.556
0.425 0.500 0.848
```

Output
Energy relative to the elements (meV/atom): -193.1
VASP energy (eV/atom): -3.331
Calculated volume (Å³/atom): 32.53

Entry 7:
First-principles (PBE) data for a relaxed structure of CeGa2RuRh, as listed in Alexandria via LeMat-Bulk.

Structure (POSCAR):
```
CeGa2RuRh
1.0
-2.185 2.185 4.831
2.185 -2.185 4.831
2.185 2.185 -4.831
Ce Ga Ru Rh
1 2 1 1
Direct
0.000 0.000 0.000
0.370 0.370 0.000
0.630 0.630 0.000
0.250 0.750 0.500
0.750 0.250 0.500
```

Output
Energy relative to the elements (meV/atom): -607.4
VASP energy (eV/atom): -6.330
Calculated volume (Å³/atom): 18.45

Entry 8:
First-principles (PBE) data for a relaxed structure of InPb2S3, as listed in Alexandria via LeMat-Bulk.

Structure (POSCAR):
```
InPb2S3
1.0
-2.928 6.272 2.096
2.928 -6.272 2.096
2.928 6.272 -2.096
In Pb S
1 2 3
Direct
0.000 0.000 0.000
0.331 0.000 0.331
0.669 0.000 0.669
0.001 0.501 0.500
0.343 0.501 0.842
0.660 0.501 0.158
```

Output
VASP energy (eV/atom): -4.221
Calculated volume (Å³/atom): 25.66
ΔE_f (raw) (meV per atom): -465

Q: Which value of VASP energy does entry 3 give?
A: -4.238 eV/atom

Q: Among the records above, which one has the highest calculated volume?
A: Rb3UTl2Se6

Please write out number 8 again, unchanged.
First-principles (PBE) data for a relaxed structure of InPb2S3, as listed in Alexandria via LeMat-Bulk.

Structure (POSCAR):
```
InPb2S3
1.0
-2.928 6.272 2.096
2.928 -6.272 2.096
2.928 6.272 -2.096
In Pb S
1 2 3
Direct
0.000 0.000 0.000
0.331 0.000 0.331
0.669 0.000 0.669
0.001 0.501 0.500
0.343 0.501 0.842
0.660 0.501 0.158
```

Output
VASP energy (eV/atom): -4.221
Calculated volume (Å³/atom): 25.66
ΔE_f (raw) (meV per atom): -465